Entry 1:
A plane-wave DFT calculation with PBE was carried out for SrYGa2Pd5 after structural relaxation.

Lattice parameters (Å, degrees): 4.318 4.318 9.194 90.00 90.00 90.00
Sites, in units of the cell vectors:
Pd 0.500 0.000 0.264
Pd 0.000 0.500 0.736
Pd 0.500 0.000 0.736
Pd 0.000 0.500 0.264
Pd 0.500 0.500 0.500
Sr 0.000 0.000 0.500
Ga 0.500 0.500 0.865
Ga 0.500 0.500 0.135
Y 0.000 0.000 0.000

Values from the calculation:
V	171.4	Å³ per cell
energy of formation from the pure elements	-0.653	eV per atom
size of the total moment	0.000	μB/cell
VASP energy	-5.116	eV per atom

***

Entry 2:
A plane-wave DFT calculation with PBE was carried out for BRuN2 after structural relaxation.

Lattice parameters (Å, degrees): 5.354 5.354 5.354 33.33 33.33 33.33
Last column: magnetic moment on the atom in μB.
Sites, in units of the cell vectors:
N 0.089 0.089 0.089  0.02
N 0.911 0.911 0.911  0.02
Ru 0.500 0.500 0.500  0.92
B 0.000 0.000 0.000  0.01

Values from the calculation:
V	41.2	Å³ per cell
size of the total moment	1.000	μB/cell
formation energy without anion corrections	0.143	eV/atom
VASP energy	-8.008	eV per atom

***

Entry 3:
A plane-wave DFT calculation with PBE was carried out for Lu2MgPd after structural relaxation.

Lattice parameters (Å, degrees): 5.031 5.031 5.031 60.00 60.00 60.00
Sites, in units of the cell vectors:
Mg 0.000 0.000 0.000
Lu 0.750 0.750 0.750
Lu 0.250 0.250 0.250
Pd 0.500 0.500 0.500

Values from the calculation:
V	90.0	Å³ per cell
energy of formation from the pure elements	-0.428	eV per atom
polymorph energy (0 for the lowest one)	81	meV per atom
size of the total moment	0.001	μB/cell
VASP energy	-4.386	eV per atom